(1)
AsSe2ICl: optimized geometry, PBE-GGA.

Lattice parameters (Å, degrees): 5.350 5.350 5.741 90.00 90.00 90.00
Space group P4/mmm (No. 123)
Unique sites:
As 0.000 0.000 0.000
Se 0.000 0.500 0.500
I 0.000 0.000 0.500
Cl 0.500 0.500 0.000

Output
uncorrected formation energy	1.0076	eV per atom
VASP energy	-9.977	eV/cell

(2)
SiAsICl2: optimized geometry, PBE-GGA.

Lattice parameters (Å, degrees): 4.625 4.625 5.612 90.00 90.00 90.00
Space group P4/mmm (No. 123)
Unique sites:
Si 0.000 0.000 0.000
As 0.000 0.000 0.500
I 0.500 0.500 0.500
Cl 0.000 0.500 0.000

Output
uncorrected formation energy	-0.0526	eV per atom
VASP energy	-15.579	eV/cell

(3)
SrAsI2Cl: optimized geometry, PBE-GGA.

Lattice parameters (Å, degrees): 6.502 6.502 5.466 90.00 90.00 90.00
Space group P4/mmm (No. 123)
Unique sites:
Sr 0.000 0.000 0.000
As 0.500 0.500 0.500
I 0.000 0.500 0.000
Cl 0.000 0.000 0.500

Output
uncorrected formation energy	-0.5332	eV per atom
VASP energy	-13.944	eV/cell

(4)
Te2AsICl: optimized geometry, PBE-GGA.

Lattice parameters (Å, degrees): 5.510 5.510 5.550 90.00 90.00 90.00
Space group P4/mmm (No. 123)
Unique sites:
Te 0.000 0.500 0.000
As 0.000 0.000 0.000
I 0.000 0.000 0.500
Cl 0.500 0.500 0.500

Output
uncorrected formation energy	0.4314	eV per atom
VASP energy	-12.173	eV/cell

(5)
Te2AsICl: optimized geometry, PBE-GGA.

Lattice parameters (Å, degrees): 5.507 5.507 5.403 90.00 90.00 90.00
Space group P4/mmm (No. 123)
Unique sites:
Te 0.000 0.500 0.000
As 0.000 0.000 0.500
I 0.500 0.500 0.500
Cl 0.500 0.500 0.000

Output
uncorrected formation energy	0.9861	eV per atom
VASP energy	-9.399	eV/cell

(6)
InAsCl: optimized geometry, PBE-GGA.

Lattice parameters (Å, degrees): 6.789 6.789 6.789 90.00 90.00 90.00
Space group F-43m (No. 216)
Unique sites:
In 0.000 0.000 0.000
As 0.250 0.250 0.250
Cl 0.250 0.250 0.750

Output
uncorrected formation energy	0.0256	eV per atom
VASP energy	-36.632	eV/cell